(1)
Compound: Co3NiW
Source: Alexandria
Functional: PBE
Structure: relaxed

The value obtained for the relative energy among the computed polymorphs is 0 meV/atom. Its density of states at the Fermi level is 6.5 states/eV/f.u. The uncorrected energy comes out at -7.63 eV per atom. Its calculated formation energy is 0.38 eV/atom.

Lattice parameters (Å, degrees): 2.5293 4.6935 10.7022 90.00 90.00 90.00
Last column: nearest neighbours and their distance in Å.
Element x y z (fractional)
W 0.0000 0.2500 0.8024  2 W 2.53, 4 Ni 2.67, 8 Co 2.72-2.73
W 0.0000 0.7500 0.1976  2 W 2.53, 4 Ni 2.67, 8 Co 2.72-2.73
Co 0.5000 0.5001 0.6063  5 Co 2.27-2.53, 1 Ni 2.43
Co 0.5000 0.0000 0.0000  4 Co 2.35-2.53, 2 Ni 2.40
Co 0.5000 0.0001 0.3937  5 Co 2.27-2.53, 1 Ni 2.43
Co 0.5000 0.4999 0.3937  5 Co 2.27-2.53, 1 Ni 2.43
Co 0.5000 0.9999 0.6063  5 Co 2.27-2.53, 1 Ni 2.43
Co 0.5000 0.5000 0.0000  4 Co 2.35-2.53, 2 Ni 2.40
Ni 0.5000 0.7500 0.8049  4 Co 2.40-2.43, 2 Ni 2.53, 4 W 2.67
Ni 0.5000 0.2500 0.1951  4 Co 2.40-2.43, 2 Ni 2.53, 4 W 2.67

=====

(2)
Compound: Na3Mg3USe8
Source: Alexandria
Functional: PBE
Structure: relaxed

The energy relative to the elements, uncorrected is -15.869 eV per formula unit. Its density of states at the Fermi level is 13.4 states/eV/f.u. The uncorrected energy comes out at -4.25 eV per atom.

Lattice parameters (Å, degrees): 7.7715 7.8857 8.5338 118.27 90.00 119.52
Last column: nearest neighbours and their distance in Å.
Element x y z (fractional)
Na 0.5000 0.5000 0.0000  6 Se 3.01-3.05
Na 0.0000 0.5000 0.0000  6 Se 3.01-3.05
Na 0.0000 0.0000 0.0000  6 Se 3.02-3.05
Mg 0.5000 0.5000 0.5000  6 Se 2.73-2.77
Mg 0.0000 0.5000 0.5000  6 Se 2.73-2.77
Mg 0.5000 0.0000 0.5000  6 Se 2.74-2.76
Se 0.7636 0.0181 0.2820  1 U 2.71, 2 Mg 2.76-2.77, 2 Na 3.02
Se 0.2545 0.0181 0.2820  1 U 2.71, 2 Mg 2.76-2.77, 2 Na 3.02
Se 0.2373 0.4745 0.7199  1 U 2.73, 2 Mg 2.77, 2 Na 3.01
Se 0.7382 0.4765 0.7140  3 Mg 2.73-2.74, 3 Na 3.05
Se 0.7627 0.5255 0.2801  1 U 2.73, 2 Mg 2.77, 2 Na 3.01
Se 0.2364 0.9819 0.7180  1 U 2.71, 2 Mg 2.76-2.77, 2 Na 3.02
Se 0.2618 0.5235 0.2860  3 Mg 2.73-2.74, 3 Na 3.05
Se 0.7455 0.9819 0.7180  1 U 2.71, 2 Mg 2.76-2.77, 2 Na 3.02
U 0.0000 0.0000 0.5000  6 Se 2.71-2.73

=====

(3)
Compound: Cr2Ir2W
Source: Alexandria
Functional: PBE
Structure: relaxed

The value obtained for the relative energy among the computed polymorphs is 40 meV/atom. Its density of states at the Fermi level is 4.9 states/eV/f.u. The uncorrected energy comes out at -9.96 eV per atom. Its calculated formation energy is 0.03 eV/atom.

Lattice parameters (Å, degrees): 7.2549 7.2549 2.6885 90.00 90.00 90.00
Last column: nearest neighbours and their distance in Å.
Element x y z (fractional)
Ir 0.1285 0.3715 0.0000  6 Cr 2.48-2.56, 3 Ir 2.64-2.69
Ir 0.6285 0.1285 0.0000  6 Cr 2.48-2.56, 3 Ir 2.64-2.69
Ir 0.8715 0.6285 0.0000  6 Cr 2.48-2.56, 3 Ir 2.64-2.69
Ir 0.3715 0.8715 0.0000  6 Cr 2.48-2.56, 3 Ir 2.64-2.69
Cr 0.1689 0.6689 0.5000  6 Ir 2.48-2.56, 2 Cr 2.69
Cr 0.6689 0.8311 0.5000  6 Ir 2.48-2.56, 2 Cr 2.69
Cr 0.8311 0.3311 0.5000  6 Ir 2.48-2.56, 2 Cr 2.69
Cr 0.3311 0.1689 0.5000  6 Ir 2.48-2.56, 2 Cr 2.69
W 0.5000 0.5000 0.0000  2 W 2.69, 4 Ir 2.85
W 0.0000 0.0000 0.0000  2 W 2.69, 4 Ir 2.85

=====

(4)
Compound: YAl2Co
Source: Alexandria
Functional: PBE
Structure: relaxed

Its density of states at the Fermi level is 2.7 states/eV/f.u. The uncorrected energy comes out at -5.59 eV per atom. Its calculated formation energy is -0.33 eV/atom.

Lattice parameters (Å, degrees): 7.6473 7.6473 6.1079 90.00 90.00 156.55
Last column: nearest neighbours and their distance in Å.
Element x y z (fractional)
Y 0.2619 0.7381 0.7500  6 Al 3.08-3.09, 2 Y 3.11
Y 0.7381 0.2619 0.2500  6 Al 3.08-3.09, 2 Y 3.11
Al 0.0875 0.9125 0.4790  4 Co 2.53-2.57, 2 Al 2.63-2.80
Al 0.0875 0.9125 0.0210  4 Co 2.53-2.57, 2 Al 2.63-2.80
Al 0.9125 0.0875 0.9790  4 Co 2.53-2.57, 2 Al 2.63-2.80
Al 0.9125 0.0875 0.5210  4 Co 2.53-2.57, 2 Al 2.63-2.80
Co 0.5125 0.4875 0.7500  8 Al 2.53-2.57
Co 0.4875 0.5125 0.2500  8 Al 2.53-2.57

=====

Number 1: total magnetization 4.76 μB/f.u.. Number 2: total magnetization 0.00 μB/f.u.. Number 3: total magnetization 0.00 μB/f.u.. Number 4: total magnetization 0.66 μB/f.u..